1:
Nd6TlHg PBE optimized geometry; M_tot = 0.00 μB/f.u.; DOS at the Fermi energy = 1.07 states/eV/atom; space-group type = I4/mmm
1.0
-0.795 5.210 -0.056
0.093 0.071 5.269
8.818 4.035 2.425
Nd Hg Tl
6 1 1
direct
0.750 0.750 0.500
0.612 0.112 0.776
0.250 0.250 0.500
0.888 0.388 0.224
0.388 0.888 0.224
0.112 0.612 0.776
0.000 0.000 0.000
0.500 0.500 0.000

2:
Nd6TlHg PBE optimized geometry; M_tot = 0.00 μB/f.u.; DOS at the Fermi energy = 1.49 states/eV/atom; space-group type = P4/mmm
1.0
4.976 0.000 0.000
0.000 4.976 0.000
0.000 0.000 9.914
Nd Hg Tl
6 1 1
direct
0.000 0.500 0.252
0.500 0.500 0.500
0.500 0.500 0.000
0.500 0.000 0.252
0.500 0.000 0.748
0.000 0.500 0.748
0.000 0.000 0.500
0.000 0.000 0.000

Most stable structure, least stable structure: 1, 2.

1:
Nd6Tl3Hg PBE optimized geometry; M_tot = 0.00 μB/f.u.; DOS at the Fermi energy = 1.30 states/eV/atom; space-group type = Pnnm
1.0
5.420 0.000 -0.009
0.000 9.438 0.000
0.019 0.000 12.533
Nd Tl Hg
12 6 2
direct
0.500 0.169 0.587
0.000 0.000 0.752
0.000 0.335 0.413
0.500 0.835 0.087
0.500 0.165 0.913
0.500 0.831 0.413
0.000 0.331 0.087
0.500 0.500 0.252
0.000 0.000 0.248
0.000 0.669 0.913
0.500 0.500 0.748
0.000 0.665 0.587
0.000 0.333 0.754
0.500 0.833 0.746
0.500 0.167 0.254
0.000 0.000 0.500
0.000 0.667 0.246
0.500 0.500 0.000
0.500 0.500 0.500
0.000 0.000 0.000

2:
Nd6Tl3Hg PBE optimized geometry; M_tot = 0.00 μB/f.u.; DOS at the Fermi energy = 1.14 states/eV/atom; space-group type = P2_1/m
1.0
5.471 0.000 0.000
0.000 9.194 -2.965
0.000 0.141 12.043
Nd Tl Hg
12 6 2
direct
0.250 0.662 0.678
0.250 0.244 0.501
0.750 0.534 0.908
0.250 0.094 0.880
0.750 0.870 0.845
0.250 0.850 0.312
0.750 0.756 0.499
0.750 0.150 0.688
0.250 0.130 0.155
0.750 0.338 0.322
0.750 0.906 0.120
0.250 0.466 0.092
0.750 0.467 0.616
0.250 0.533 0.384
0.750 0.626 0.216
0.250 0.374 0.784
0.250 0.771 0.973
0.750 0.229 0.027
0.750 0.045 0.396
0.250 0.955 0.604

Most stable structure, least stable structure: 2, 1.

1:
Nd3Tl4Hg2 PBE optimized geometry; M_tot = 0.00 μB/f.u.; DOS at the Fermi energy = 0.74 states/eV/atom; space-group type = P-62m
1.0
-0.624 1.583 -4.130
-0.539 -7.621 -2.841
-6.705 3.899 2.508
Nd Hg Tl
3 2 4
direct
0.500 0.600 0.600
0.500 0.400 0.000
0.500 0.000 0.400
0.000 0.333 0.667
0.000 0.667 0.333
0.500 0.000 0.000
0.000 0.000 0.732
0.000 0.268 0.268
0.000 0.732 0.000

2:
Nd3Tl4Hg2 PBE optimized geometry; M_tot = 0.00 μB/f.u.; DOS at the Fermi energy = 0.61 states/eV/atom; space-group type = C2/m
1.0
5.022 0.000 0.000
-2.511 5.481 -2.049
0.000 -0.800 9.548
Nd Tl Hg
3 4 2
direct
0.335 0.670 0.333
0.665 0.330 0.667
0.000 0.000 0.000
0.688 0.375 0.027
0.312 0.625 0.973
0.032 0.063 0.360
0.968 0.937 0.640
0.346 0.693 0.679
0.654 0.307 0.321

Most stable structure, least stable structure: 2, 1.

1:
Nd3TlHg4 PBE optimized geometry; M_tot = 0.00 μB/f.u.; DOS at the Fermi energy = 0.83 states/eV/atom; space-group type = R-3m
1.0
-0.870 3.425 3.961
-4.588 -0.136 2.667
1.775 -4.793 8.092
Nd Hg Tl
3 4 1
direct
0.740 0.740 0.779
0.500 0.500 0.500
0.260 0.260 0.221
0.619 0.619 0.142
0.869 0.869 0.394
0.131 0.131 0.606
0.381 0.381 0.858
0.000 0.000 0.000

2:
Nd3TlHg4 PBE optimized geometry; M_tot = 0.00 μB/f.u.; DOS at the Fermi energy = 0.67 states/eV/atom; space-group type = Immm
1.0
-1.784 -0.846 -3.178
-0.842 -7.663 2.513
-5.492 6.094 3.664
Nd Hg Tl
3 4 1
direct
0.813 0.813 0.626
0.000 0.500 0.000
0.187 0.187 0.374
0.361 0.557 0.723
0.639 0.834 0.277
0.361 0.166 0.723
0.639 0.443 0.277
0.500 0.000 0.000

Most stable structure, least stable structure: 1, 2.